A plane-wave DFT calculation with PBEsol was carried out for crystalline LiTiNF2 at its relaxed geometry.

Summary:
formation energy (no corrections) = -2.059 eV per atom

abc: 3.952 3.952 3.831
angles: 90.00 90.00 90.00
Space group P4/mmm (No. 123)
Asymmetric unit:
Li (0.000, 0.000, 0.000) [1 per cell]
Ti (0.500, 0.500, 0.500) [1 per cell]
N (0.500, 0.500, 0.000) [1 per cell]
F (0.000, 0.500, 0.500) [2 per cell]